Run A
# SrCu3Pd PBE optimized geometry
# * calculated volume: 110 Å³/cell
data_SrCu3Pd
_chemical_formula_sum 'Sr1 Cu3 Pd1'
_symmetry_space_group_name_H-M 'P m -3 m'
_symmetry_Int_Tables_number 221
_symmetry_space_group_name_Hall '-P 4 2 3'
_cell_length_a 4.790
_cell_length_b 4.790
_cell_length_c 4.790
_cell_angle_alpha 90.00
_cell_angle_beta 90.00
_cell_angle_gamma 90.00
loop_
_atom_site_label
_atom_site_type_symbol
_atom_site_fract_x
_atom_site_fract_y
_atom_site_fract_z
_atom_site_occupancy
Sr1 Sr 0.000 0.000 0.000 1
Cu1 Cu 0.000 0.500 0.500 1
Pd1 Pd 0.500 0.500 0.500 1

=====

Run B
# SrCu3Pd PBE optimized geometry
# * calculated volume: 135 Å³/cell
data_SrCu3Pd
_chemical_formula_sum 'Sr1 Cu3 Pd1'
_symmetry_space_group_name_H-M 'P m -3 m'
_symmetry_Int_Tables_number 221
_symmetry_space_group_name_Hall '-P 4 2 3'
_cell_length_a 5.135
_cell_length_b 5.135
_cell_length_c 5.135
_cell_angle_alpha 90.00
_cell_angle_beta 90.00
_cell_angle_gamma 90.00
loop_
_atom_site_label
_atom_site_type_symbol
_atom_site_fract_x
_atom_site_fract_y
_atom_site_fract_z
_atom_site_occupancy
Sr1 Sr 0.000 0.000 0.000 1
Cu1 Cu 0.000 0.000 0.500 1
Pd1 Pd 0.500 0.500 0.500 1

=====

The structure with the greatest stability is run A.

=====

Run A
# Sr2CuPd3 PBE optimized geometry
# * calculated volume: 283 Å³/cell
data_Sr2CuPd3
_chemical_formula_sum 'Sr4 Cu2 Pd6'
_symmetry_space_group_name_H-M 'I m m m'
_symmetry_Int_Tables_number 71
_symmetry_space_group_name_Hall '-I 2 2'
_cell_length_a 4.562
_cell_length_b 5.630
_cell_length_c 11.015
_cell_angle_alpha 90.00
_cell_angle_beta 90.00
_cell_angle_gamma 90.00
loop_
_atom_site_label
_atom_site_type_symbol
_atom_site_fract_x
_atom_site_fract_y
_atom_site_fract_z
_atom_site_occupancy
Sr1 Sr 0.000 0.000 0.185 1
Cu1 Cu 0.000 0.000 0.500 1
Pd1 Pd 0.000 0.500 0.118 1
Pd2 Pd 0.000 0.500 0.500 1

=====

Run B
# Sr2CuPd3 PBE optimized geometry
# * calculated volume: 247 Å³/cell
data_Sr2CuPd3
_chemical_formula_sum 'Sr4 Cu2 Pd6'
_symmetry_space_group_name_H-M 'P 63/m m c'
_symmetry_Int_Tables_number 194
_symmetry_space_group_name_Hall '-P 6c 2c'
_cell_length_a 5.6912
_cell_length_b 5.6912
_cell_length_c 8.8153
_cell_angle_alpha 90.00
_cell_angle_beta 90.00
_cell_angle_gamma 120.00
loop_
_atom_site_label
_atom_site_type_symbol
_atom_site_fract_x
_atom_site_fract_y
_atom_site_fract_z
_atom_site_occupancy
Sr1 Sr 0.3333 0.6667 0.0628 1
Cu1 Cu 0.0000 0.0000 0.0000 1
Pd1 Pd 0.1645 0.3290 0.7500 1

=====

The structure with the greatest stability is run B.